## A
A geometry-optimized AgSBr2 structure, computed with PBE-GGA.

The structure in CIF format:
```
data_AgSBr2
_space_group_name_H-M_alt 'P 1'
_space_group_IT_number 1
_space_group_name_Hall 'P 1'
_cell_length_a 7.4066
_cell_length_b 7.0755
_cell_length_c 10.1627
_cell_angle_alpha 86.62
_cell_angle_beta 90.00
_cell_angle_gamma 90.00
loop_
_atom_site_label
_atom_site_fract_x
_atom_site_fract_y
_atom_site_fract_z
Ag1 0.1529 0.6411 0.6202
Ag2 0.8471 0.3589 0.3798
Ag3 0.1529 0.8589 0.8798
Ag4 0.8471 0.1411 0.1202
S1 0.4229 0.8822 0.2563
S2 0.5771 0.1178 0.7437
S3 0.4229 0.6178 0.2437
S4 0.5771 0.3822 0.7563
Br1 0.7750 0.9364 0.9135
Br2 0.2250 0.0636 0.0865
Br3 0.7750 0.5636 0.5865
Br4 0.2250 0.4364 0.4135
Br5 0.7824 0.5097 0.1319
Br6 0.2176 0.4903 0.8681
Br7 0.7824 0.9903 0.3681
Br8 0.2176 0.0097 0.6319
```

Results
* space group: P2/c
* size of the total moment: 0.00 μB/atom

***

## B
A geometry-optimized AgSBr2 structure, computed with PBE-GGA.

The structure in CIF format:
```
data_AgSBr2
_space_group_name_H-M_alt 'P 1'
_space_group_IT_number 1
_space_group_name_Hall 'P 1'
_cell_length_a 5.2671
_cell_length_b 5.2671
_cell_length_c 8.9519
_cell_angle_alpha 72.89
_cell_angle_beta 72.89
_cell_angle_gamma 90.00
loop_
_atom_site_label
_atom_site_fract_x
_atom_site_fract_y
_atom_site_fract_z
S1 0.5000 0.5000 0.0000
S2 0.2500 0.7500 0.5000
Br1 0.5973 0.1250 0.2500
Br2 0.1527 0.6250 0.2500
Br3 0.3750 0.4027 0.7500
Br4 0.8750 0.8473 0.7500
Ag1 0.0000 0.0000 0.0000
Ag2 0.7500 0.2500 0.5000
```

Results
* space group: I-42d
* size of the total moment: 0.00 μB/atom

***

It comes down to A, which is 462 meV/atom more stable than the next structure.

***

## A
A geometry-optimized AgSBr2 structure, computed with PBE-GGA.

The structure in CIF format:
```
data_AgSBr2
_space_group_name_H-M_alt 'P 1'
_space_group_IT_number 1
_space_group_name_Hall 'P 1'
_cell_length_a 5.1173
_cell_length_b 5.1173
_cell_length_c 5.1173
_cell_angle_alpha 60.00
_cell_angle_beta 60.00
_cell_angle_gamma 60.00
loop_
_atom_site_label
_atom_site_fract_x
_atom_site_fract_y
_atom_site_fract_z
S1 0.0000 0.0000 0.0000
Br1 0.2500 0.2500 0.2500
Br2 0.7500 0.7500 0.7500
Ag1 0.5000 0.5000 0.5000
```

Results
* space group: Fm-3m
* size of the total moment: 0.67 μB/atom

***

## B
A geometry-optimized AgSBr2 structure, computed with PBE-GGA.

The structure in CIF format:
```
data_AgSBr2
_space_group_name_H-M_alt 'P 1'
_space_group_IT_number 1
_space_group_name_Hall 'P 1'
_cell_length_a 8.3436
_cell_length_b 8.3436
_cell_length_c 8.3436
_cell_angle_alpha 28.64
_cell_angle_beta 28.64
_cell_angle_gamma 28.64
loop_
_atom_site_label
_atom_site_fract_x
_atom_site_fract_y
_atom_site_fract_z
S1 0.0000 0.0000 0.0000
Br1 0.8983 0.8983 0.8983
Br2 0.1017 0.1017 0.1017
Ag1 0.5000 0.5000 0.5000
```

Results
* space group: R-3m
* size of the total moment: 0.25 μB/atom

***

It comes down to B, which is 416 meV/atom more stable than the next structure.

***

## A
A geometry-optimized Ag5S2Br2 structure, computed with PBE-GGA.

The structure in CIF format:
```
data_Ag5S2Br2
_space_group_name_H-M_alt 'P 1'
_space_group_IT_number 1
_space_group_name_Hall 'P 1'
_cell_length_a 7.0250
_cell_length_b 6.9184
_cell_length_c 10.4128
_cell_angle_alpha 109.40
_cell_angle_beta 109.71
_cell_angle_gamma 90.00
loop_
_atom_site_label
_atom_site_fract_x
_atom_site_fract_y
_atom_site_fract_z
Ag1 0.2747 0.8067 0.9603
Ag2 0.7253 0.8464 0.0397
Ag3 0.1856 0.3067 0.9603
Ag4 0.8144 0.3464 0.0397
Ag5 0.1898 0.0351 0.2588
Ag6 0.8102 0.7763 0.7412
Ag7 0.5690 0.5351 0.2588
Ag8 0.4310 0.2763 0.7412
Ag9 0.1033 0.5899 0.5000
Ag10 0.8967 0.0899 0.5000
S1 0.0000 0.0248 0.0000
S2 0.5000 0.5248 0.0000
S3 0.2002 0.2551 0.5000
S4 0.7998 0.7551 0.5000
Br1 0.1660 0.6297 0.2575
Br2 0.8340 0.3722 0.7425
Br3 0.5915 0.1297 0.2575
Br4 0.4085 0.8722 0.7425
```

Results
* space group: Ima2
* size of the total moment: 0.00 μB/atom

***

## B
A geometry-optimized Ag5S2Br2 structure, computed with PBE-GGA.

The structure in CIF format:
```
data_Ag5S2Br2
_space_group_name_H-M_alt 'P 1'
_space_group_IT_number 1
_space_group_name_Hall 'P 1'
_cell_length_a 5.1863
_cell_length_b 7.2777
_cell_length_c 6.8875
_cell_angle_alpha 117.72
_cell_angle_beta 112.12
_cell_angle_gamma 90.00
loop_
_atom_site_label
_atom_site_fract_x
_atom_site_fract_y
_atom_site_fract_z
Ag1 0.6302 0.8735 0.2605
Ag2 0.3698 0.1265 0.7395
Ag3 0.8876 0.5085 0.7752
Ag4 0.1124 0.4915 0.2248
Ag5 0.0000 0.0000 0.0000
S1 0.8608 0.1357 0.7215
S2 0.1392 0.8643 0.2785
Br1 0.6223 0.3533 0.2447
Br2 0.3777 0.6467 0.7553
```

Results
* space group: C2/m
* size of the total moment: 0.00 μB/atom

***

It comes down to B, which is 16 meV/atom more stable than the next structure.

***

## A
A geometry-optimized Ag4SBr2 structure, computed with PBE-GGA.

The structure in CIF format:
```
data_Ag4SBr2
_space_group_name_H-M_alt 'P 1'
_space_group_IT_number 1
_space_group_name_Hall 'P 1'
_cell_length_a 4.2542
_cell_length_b 6.9304
_cell_length_c 7.1642
_cell_angle_alpha 121.74
_cell_angle_beta 90.00
_cell_angle_gamma 90.00
loop_
_atom_site_label
_atom_site_fract_x
_atom_site_fract_y
_atom_site_fract_z
Ag1 0.5000 0.8293 0.9949
Ag2 0.0000 0.7672 0.5227
Ag3 0.5000 0.1705 0.8622
Ag4 0.0000 0.2333 0.3346
S1 0.0000 0.0000 0.9287
Br1 0.5000 0.3564 0.6086
Br2 0.5000 0.6436 0.2486
```

Results
* space group: P2/m
* size of the total moment: 0.00 μB/atom

***

## B
A geometry-optimized Ag4SBr2 structure, computed with PBE-GGA.

The structure in CIF format:
```
data_Ag4SBr2
_space_group_name_H-M_alt 'P 1'
_space_group_IT_number 1
_space_group_name_Hall 'P 1'
_cell_length_a 4.9721
_cell_length_b 4.9721
_cell_length_c 8.0034
_cell_angle_alpha 108.10
_cell_angle_beta 108.10
_cell_angle_gamma 90.00
loop_
_atom_site_label
_atom_site_fract_x
_atom_site_fract_y
_atom_site_fract_z
S1 0.0000 0.0000 0.0000
Br1 0.6519 0.6519 0.3038
Br2 0.3481 0.3481 0.6962
Ag1 0.8290 0.8290 0.6579
Ag2 0.1710 0.1710 0.3421
Ag3 0.0000 0.5000 0.0000
Ag4 0.5000 0.0000 0.0000
```

Results
* space group: I4/mmm
* size of the total moment: 0.00 μB/atom

***

## C
A geometry-optimized Ag4SBr2 structure, computed with PBE-GGA.

The structure in CIF format:
```
data_Ag4SBr2
_space_group_name_H-M_alt 'P 1'
_space_group_IT_number 1
_space_group_name_Hall 'P 1'
_cell_length_a 9.8564
_cell_length_b 6.7591
_cell_length_c 5.9789
_cell_angle_alpha 90.00
_cell_angle_beta 105.22
_cell_angle_gamma 90.00
loop_
_atom_site_label
_atom_site_fract_x
_atom_site_fract_y
_atom_site_fract_z
Ag1 0.5902 0.5030 0.3274
Ag2 0.1582 0.7500 0.0313
Ag3 0.8418 0.2500 0.9687
Ag4 0.5902 0.9970 0.3274
Ag5 0.8431 0.2500 0.4763
Ag6 0.4098 0.0030 0.6726
Ag7 0.4098 0.4970 0.6726
Ag8 0.1569 0.7500 0.5237
S1 0.3597 0.7500 0.3612
S2 0.6403 0.2500 0.6388
Br1 0.6476 0.7500 0.0269
Br2 0.3524 0.2500 0.9731
Br3 0.0565 0.2500 0.3118
Br4 0.9435 0.7500 0.6882
```

Results
* space group: P2_1/m
* size of the total moment: 0.00 μB/atom

***

It comes down to C, which is 24 meV/atom more stable than the next structure.

***

## A
A geometry-optimized AgSBr3 structure, computed with PBE-GGA.

The structure in CIF format:
```
data_AgSBr3
_space_group_name_H-M_alt 'P 1'
_space_group_IT_number 1
_space_group_name_Hall 'P 1'
_cell_length_a 5.5397
_cell_length_b 4.2948
_cell_length_c 14.4949
_cell_angle_alpha 68.68
_cell_angle_beta 85.64
_cell_angle_gamma 92.68
loop_
_atom_site_label
_atom_site_fract_x
_atom_site_fract_y
_atom_site_fract_z
Ag1 0.2736 0.8532 0.3969
Ag2 0.8093 0.6926 0.2167
S1 0.5967 0.1160 0.8701
S2 0.4862 0.4298 0.7435
Br1 0.2569 0.0815 0.5397
Br2 0.8443 0.7090 0.6578
Br3 0.7794 0.8622 0.3736
Br4 0.2386 0.8368 0.9558
Br5 0.3035 0.6836 0.2400
Br6 0.8260 0.4643 0.0739
```

Results
* space group: P-1
* size of the total moment: 0.08 μB/atom

***

## B
A geometry-optimized AgSBr3 structure, computed with PBE-GGA.

The structure in CIF format:
```
data_AgSBr3
_space_group_name_H-M_alt 'P 1'
_space_group_IT_number 1
_space_group_name_Hall 'P 1'
_cell_length_a 5.3168
_cell_length_b 5.3168
_cell_length_c 5.3168
_cell_angle_alpha 90.00
_cell_angle_beta 90.00
_cell_angle_gamma 90.00
loop_
_atom_site_label
_atom_site_fract_x
_atom_site_fract_y
_atom_site_fract_z
S1 0.5000 0.5000 0.5000
Br1 0.0000 0.5000 0.0000
Br2 0.0000 0.0000 0.5000
Br3 0.5000 0.0000 0.0000
Ag1 0.0000 0.0000 0.0000
```

Results
* space group: Pm-3m
* size of the total moment: 0.57 μB/atom

***

It comes down to A, which is 602 meV/atom more stable than the next structure.

***

## A
A geometry-optimized Ag2SBr2 structure, computed with PBE-GGA.

The structure in CIF format:
```
data_Ag2SBr2
_space_group_name_H-M_alt 'P 1'
_space_group_IT_number 1
_space_group_name_Hall 'P 1'
_cell_length_a 7.2121
_cell_length_b 7.2121
_cell_length_c 5.0652
_cell_angle_alpha 90.00
_cell_angle_beta 90.00
_cell_angle_gamma 90.00
loop_
_atom_site_label
_atom_site_fract_x
_atom_site_fract_y
_atom_site_fract_z
S1 0.0000 0.0000 0.0000
S2 0.5000 0.5000 0.0000
Br1 0.1739 0.6739 0.5000
Br2 0.6739 0.8261 0.5000
Br3 0.8261 0.3261 0.5000
Br4 0.3261 0.1739 0.5000
Ag1 0.2369 0.7369 0.0000
Ag2 0.7369 0.7631 0.0000
Ag3 0.7631 0.2631 0.0000
Ag4 0.2631 0.2369 0.0000
```

Results
* space group: P4/mbm
* size of the total moment: 0.11 μB/atom

***

## B
A geometry-optimized Ag2SBr2 structure, computed with PBE-GGA.

The structure in CIF format:
```
data_Ag2SBr2
_space_group_name_H-M_alt 'P 1'
_space_group_IT_number 1
_space_group_name_Hall 'P 1'
_cell_length_a 4.3526
_cell_length_b 6.5463
_cell_length_c 11.6298
_cell_angle_alpha 109.48
_cell_angle_beta 112.45
_cell_angle_gamma 93.19
loop_
_atom_site_label
_atom_site_fract_x
_atom_site_fract_y
_atom_site_fract_z
Ag1 0.8439 0.1194 0.8573
Ag2 0.1561 0.8806 0.1427
Ag3 0.7853 0.4750 0.3013
Ag4 0.2147 0.5250 0.6987
S1 0.6532 0.4011 0.4831
S2 0.3468 0.5989 0.5169
Br1 0.8897 0.6843 0.8699
Br2 0.1103 0.3157 0.1301
Br3 0.8070 0.8934 0.2897
Br4 0.1930 0.1066 0.7103
```

Results
* space group: P-1
* size of the total moment: 0.00 μB/atom

***

It comes down to B, which is 328 meV/atom more stable than the next structure.

***

## A
A geometry-optimized Ag2Sb2Br structure, computed with PBE-GGA.

The structure in CIF format:
```
data_Ag2Sb2Br
_space_group_name_H-M_alt 'P 1'
_space_group_IT_number 1
_space_group_name_Hall 'P 1'
_cell_length_a 5.0385
_cell_length_b 5.0385
_cell_length_c 6.4388
_cell_angle_alpha 66.97
_cell_angle_beta 66.97
_cell_angle_gamma 90.00
loop_
_atom_site_label
_atom_site_fract_x
_atom_site_fract_y
_atom_site_fract_z
Sb1 0.3678 0.3678 0.2645
Sb2 0.6322 0.6322 0.7355
Br1 0.0000 0.0000 0.0000
Ag1 0.7500 0.2500 0.5000
Ag2 0.2500 0.7500 0.5000
```

Results
* space group: I4/mmm
* size of the total moment: 0.00 μB/atom

***

## B
A geometry-optimized Ag2Sb2Br structure, computed with PBE-GGA.

The structure in CIF format:
```
data_Ag2Sb2Br
_space_group_name_H-M_alt 'P 1'
_space_group_IT_number 1
_space_group_name_Hall 'P 1'
_cell_length_a 4.2738
_cell_length_b 4.2738
_cell_length_c 7.8982
_cell_angle_alpha 74.30
_cell_angle_beta 74.30
_cell_angle_gamma 90.00
loop_
_atom_site_label
_atom_site_fract_x
_atom_site_fract_y
_atom_site_fract_z
Sb1 0.7500 0.2500 0.5000
Sb2 0.2500 0.7500 0.5000
Br1 0.0000 0.0000 0.0000
Ag1 0.3996 0.3996 0.2008
Ag2 0.6004 0.6004 0.7992
```

Results
* space group: I4/mmm
* size of the total moment: 0.00 μB/atom

***

It comes down to A, which is 12 meV/atom more stable than the next structure.

***

## A
A geometry-optimized Ag2SbBr structure, computed with PBE-GGA.

The structure in CIF format:
```
data_Ag2SbBr
_space_group_name_H-M_alt 'P 1'
_space_group_IT_number 1
_space_group_name_Hall 'P 1'
_cell_length_a 3.6425
_cell_length_b 3.5974
_cell_length_c 8.0492
_cell_angle_alpha 74.17
_cell_angle_beta 90.00
_cell_angle_gamma 90.00
loop_
_atom_site_label
_atom_site_fract_x
_atom_site_fract_y
_atom_site_fract_z
Sb1 0.5000 0.5472 0.8414
Br1 0.0000 0.7003 0.4126
Ag1 0.0000 0.9347 0.0270
Ag2 0.5000 0.3178 0.2190
```

Results
* space group: Pm
* size of the total moment: 0.00 μB/atom

***

## B
A geometry-optimized Ag2SbBr structure, computed with PBE-GGA.

The structure in CIF format:
```
data_Ag2SbBr
_space_group_name_H-M_alt 'P 1'
_space_group_IT_number 1
_space_group_name_Hall 'P 1'
_cell_length_a 5.7757
_cell_length_b 5.7757
_cell_length_c 5.7757
_cell_angle_alpha 144.06
_cell_angle_beta 120.69
_cell_angle_gamma 71.33
loop_
_atom_site_label
_atom_site_fract_x
_atom_site_fract_y
_atom_site_fract_z
Sb1 0.2500 0.7500 0.5000
Br1 0.7500 0.2500 0.5000
Ag1 0.0079 0.0079 0.0000
Ag2 0.4921 0.4921 0.0000
```

Results
* space group: Immm
* size of the total moment: 0.00 μB/atom

***

It comes down to A, which is 225 meV/atom more stable than the next structure.